Record 1
# DyZnGaPt, optimized geometry, DFT PBE
data_DyZnGaPt
_space_group_name_H-M_alt 'P 1'
_space_group_IT_number 1
_cell_length_a 4.690
_cell_length_b 4.690
_cell_length_c 4.690
_cell_angle_alpha 60.00
_cell_angle_beta 60.00
_cell_angle_gamma 60.00
loop_
_space_group_symop_operation_xyz
'x,y,z'
loop_
_atom_site_label
_atom_site_fract_x
_atom_site_fract_y
_atom_site_fract_z
Zn1 0.250 0.250 0.250
Ga1 0.500 0.500 0.500
Pt1 0.750 0.750 0.750
Dy1 0.000 0.000 0.000
# **Energy of formation**: -0.664 eV per atom

***

Record 2
# DyPu2Ga6, optimized geometry, DFT PBE
data_DyPu2Ga6
_space_group_name_H-M_alt 'P 1'
_space_group_IT_number 1
_cell_length_a 3.483
_cell_length_b 7.814
_cell_length_c 7.814
_cell_angle_alpha 120.00
_cell_angle_beta 90.00
_cell_angle_gamma 90.00
loop_
_space_group_symop_operation_xyz
'x,y,z'
loop_
_atom_site_label
_atom_site_fract_x
_atom_site_fract_y
_atom_site_fract_z
Dy1 0.000 0.000 0.000
Pu1 0.000 0.333 0.667
Pu2 0.000 0.667 0.333
Ga1 0.500 0.332 0.332
Ga2 0.500 0.668 0.668
Ga3 0.500 0.000 0.668
Ga4 0.500 0.668 0.000
Ga5 0.500 0.332 0.000
Ga6 0.500 0.000 0.332
# **ΔE to the lowest computed polymorph**: 0 meV per atom
# **Energy of formation**: -0.452 eV per atom

***

Record 3
# DyPu2Ga9, optimized geometry, DFT PBE
data_DyPu2Ga9
_space_group_name_H-M_alt 'P 1'
_space_group_IT_number 1
_cell_length_a 5.497
_cell_length_b 5.497
_cell_length_c 9.554
_cell_angle_alpha 73.28
_cell_angle_beta 73.28
_cell_angle_gamma 60.00
loop_
_space_group_symop_operation_xyz
'x,y,z'
loop_
_atom_site_label
_atom_site_fract_x
_atom_site_fract_y
_atom_site_fract_z
Dy1 0.000 0.000 0.000
Pu1 0.858 0.858 0.427
Pu2 0.142 0.142 0.573
Ga1 0.665 0.665 0.005
Ga2 0.335 0.335 0.995
Ga3 0.500 0.500 0.500
Ga4 0.413 0.413 0.252
Ga5 0.923 0.413 0.252
Ga6 0.413 0.923 0.252
Ga7 0.587 0.587 0.748
Ga8 0.587 0.077 0.748
Ga9 0.077 0.587 0.748
# **ΔE to the lowest computed polymorph**: 128 meV per atom
# **Energy of formation**: -0.300 eV per atom

***

Record 4
# DyPuGa4, optimized geometry, DFT PBE
data_DyPuGa4
_space_group_name_H-M_alt 'P 1'
_space_group_IT_number 1
_cell_length_a 5.523
_cell_length_b 5.523
_cell_length_c 5.523
_cell_angle_alpha 60.00
_cell_angle_beta 60.00
_cell_angle_gamma 60.00
loop_
_space_group_symop_operation_xyz
'x,y,z'
loop_
_atom_site_label
_atom_site_fract_x
_atom_site_fract_y
_atom_site_fract_z
Dy1 0.250 0.250 0.250
Ga1 0.625 0.625 0.124
Ga2 0.625 0.124 0.625
Ga3 0.625 0.625 0.625
Ga4 0.124 0.625 0.625
Pu1 0.000 0.000 0.000
# **ΔE to the lowest computed polymorph**: 57 meV per atom
# **Energy of formation**: -0.436 eV per atom

***

Record 5
# Dy2PuGa6, optimized geometry, DFT PBE
data_Dy2PuGa6
_space_group_name_H-M_alt 'P 1'
_space_group_IT_number 1
_cell_length_a 4.339
_cell_length_b 7.111
_cell_length_c 7.773
_cell_angle_alpha 117.22
_cell_angle_beta 106.21
_cell_angle_gamma 90.00
loop_
_space_group_symop_operation_xyz
'x,y,z'
loop_
_atom_site_label
_atom_site_fract_x
_atom_site_fract_y
_atom_site_fract_z
Dy1 0.875 0.875 0.750
Dy2 0.125 0.125 0.250
Pu1 0.000 0.500 0.000
Ga1 0.685 0.877 0.369
Ga2 0.315 0.123 0.631
Ga3 0.315 0.508 0.631
Ga4 0.500 0.185 0.000
Ga5 0.500 0.815 0.000
Ga6 0.685 0.492 0.369
# **ΔE to the lowest computed polymorph**: 161 meV per atom
# **Energy of formation**: -0.374 eV per atom

***

Record 6
# Dy2PuGa9, optimized geometry, DFT PBE
data_Dy2PuGa9
_space_group_name_H-M_alt 'P 1'
_space_group_IT_number 1
_cell_length_a 4.270
_cell_length_b 4.270
_cell_length_c 12.835
_cell_angle_alpha 90.00
_cell_angle_beta 90.00
_cell_angle_gamma 90.00
loop_
_space_group_symop_operation_xyz
'x,y,z'
loop_
_atom_site_label
_atom_site_fract_x
_atom_site_fract_y
_atom_site_fract_z
Dy1 0.000 0.000 0.334
Dy2 0.000 0.000 0.666
Pu1 0.000 0.000 0.000
Ga1 0.500 0.500 0.000
Ga2 0.500 0.500 0.332
Ga3 0.500 0.500 0.668
Ga4 0.500 0.000 0.165
Ga5 0.500 0.000 0.500
Ga6 0.500 0.000 0.835
Ga7 0.000 0.500 0.165
Ga8 0.000 0.500 0.500
Ga9 0.000 0.500 0.835
# **Energy of formation**: -0.484 eV per atom

***

Record 7
# DyPuGa4, optimized geometry, DFT PBE
data_DyPuGa4
_space_group_name_H-M_alt 'P 1'
_space_group_IT_number 1
_cell_length_a 4.425
_cell_length_b 5.733
_cell_length_c 5.733
_cell_angle_alpha 78.85
_cell_angle_beta 67.30
_cell_angle_gamma 67.30
loop_
_space_group_symop_operation_xyz
'x,y,z'
loop_
_atom_site_label
_atom_site_fract_x
_atom_site_fract_y
_atom_site_fract_z
Dy1 0.000 0.000 0.000
Pu1 0.000 0.500 0.500
Ga1 0.667 0.584 0.082
Ga2 0.333 0.918 0.416
Ga3 0.333 0.416 0.918
Ga4 0.667 0.082 0.584
# **ΔE to the lowest computed polymorph**: 0 meV per atom
# **Energy of formation**: -0.493 eV per atom

***

Record 8
# DyPu2Ga6, optimized geometry, DFT PBE
data_DyPu2Ga6
_space_group_name_H-M_alt 'P 1'
_space_group_IT_number 1
_cell_length_a 4.400
_cell_length_b 7.697
_cell_length_c 7.697
_cell_angle_alpha 54.56
_cell_angle_beta 73.39
_cell_angle_gamma 73.39
loop_
_space_group_symop_operation_xyz
'x,y,z'
loop_
_atom_site_label
_atom_site_fract_x
_atom_site_fract_y
_atom_site_fract_z
Dy1 0.500 0.500 0.500
Pu1 0.384 0.116 0.116
Pu2 0.616 0.884 0.884
Ga1 0.188 0.505 0.118
Ga2 0.812 0.495 0.882
Ga3 0.812 0.882 0.495
Ga4 0.000 0.200 0.800
Ga5 0.000 0.800 0.200
Ga6 0.188 0.118 0.505
# **ΔE to the lowest computed polymorph**: 167 meV per atom
# **Energy of formation**: -0.284 eV per atom

***

Record 9
# DyPuGa6, optimized geometry, DFT PBE
data_DyPuGa6
_space_group_name_H-M_alt 'P 1'
_space_group_IT_number 1
_cell_length_a 4.643
_cell_length_b 6.211
_cell_length_c 6.211
_cell_angle_alpha 119.98
_cell_angle_beta 90.00
_cell_angle_gamma 90.00
loop_
_space_group_symop_operation_xyz
'x,y,z'
loop_
_atom_site_label
_atom_site_fract_x
_atom_site_fract_y
_atom_site_fract_z
Dy1 0.000 0.083 0.917
Pu1 0.500 0.417 0.583
Ga1 0.000 0.052 0.401
Ga2 0.000 0.599 0.948
Ga3 0.000 0.599 0.401
Ga4 0.500 0.448 0.099
Ga5 0.500 0.901 0.552
Ga6 0.500 0.901 0.099
# **Energy of formation**: -0.461 eV per atom

***

Record 10
# DyPu2Ga9, optimized geometry, DFT PBE
data_DyPu2Ga9
_space_group_name_H-M_alt 'P 1'
_space_group_IT_number 1
_cell_length_a 4.280
_cell_length_b 4.280
_cell_length_c 12.824
_cell_angle_alpha 90.00
_cell_angle_beta 90.00
_cell_angle_gamma 90.00
loop_
_space_group_symop_operation_xyz
'x,y,z'
loop_
_atom_site_label
_atom_site_fract_x
_atom_site_fract_y
_atom_site_fract_z
Dy1 0.000 0.000 0.000
Pu1 0.000 0.000 0.332
Pu2 0.000 0.000 0.668
Ga1 0.500 0.500 0.000
Ga2 0.500 0.500 0.335
Ga3 0.500 0.500 0.665
Ga4 0.500 0.000 0.168
Ga5 0.500 0.000 0.500
Ga6 0.500 0.000 0.832
Ga7 0.000 0.500 0.168
Ga8 0.000 0.500 0.500
Ga9 0.000 0.500 0.832
# **ΔE to the lowest computed polymorph**: 0 meV per atom
# **Energy of formation**: -0.428 eV per atom

***

Number 1: final energy -4.400 eV/atom. Number 2: final energy -6.166 eV/atom. Number 3: final energy -5.343 eV/atom. Number 4: final energy -5.609 eV/atom. Number 5: final energy -5.007 eV/atom. Number 6: final energy -4.716 eV/atom. Number 7: final energy -5.667 eV/atom. Number 8: final energy -5.998 eV/atom. Number 9: final energy -5.098 eV/atom. Number 10: final energy -5.471 eV/atom.